Ba2LiFeIr: relaxed, PBE.

Results
For the formation energy, the calculation gives 21.80 kcal/mol of atoms.

a b c (Å): 5.7090 5.7090 4.2957
angles (deg): 90.00 90.00 90.00
Element x y z (fractional)
Ba: 0.0000 0.5000 0.0000
Ba: 0.5000 0.0000 0.0000
Li: 0.0000 0.0000 0.0000
Fe: 0.0000 0.0000 0.5000
Ir: 0.5000 0.5000 0.5000

***

PuNiGe: relaxed, PBE.

Results
For the formation energy, the calculation gives -10.20 kcal/mol of atoms.

a b c (Å): 4.2064 4.2064 3.6561
angles (deg): 90.00 90.00 120.00
Element x y z (fractional)
Pu: 0.0000 0.0000 0.0000
Ni: 0.3333 0.6667 0.5000
Ge: 0.6667 0.3333 0.5000

***

LaTb3Th2N6: relaxed, PBE.

Results
The calculation puts the uncorrected formation energy at -1.579 eV per atom.

a b c (Å): 8.0298 8.0298 7.1954
angles (deg): 102.78 102.78 25.92
Element x y z (fractional)
La: 0.0000 0.0000 0.0000
Tb: 0.0000 0.0000 0.5000
Tb: 0.3339 0.3339 0.1657
Tb: 0.6661 0.6661 0.8343
Th: 0.3342 0.3342 0.6687
Th: 0.6658 0.6658 0.3313
N: 0.1669 0.1669 0.5834
N: 0.1716 0.1716 0.0876
N: 0.4977 0.4977 0.7365
N: 0.5023 0.5023 0.2635
N: 0.8284 0.8284 0.9124
N: 0.8331 0.8331 0.4166

***

Be2CoHI: relaxed, PBE.

a b c (Å): 4.1769 4.1769 3.3553
angles (deg): 90.00 90.00 90.00
Element x y z (fractional)
Be: 0.0000 0.5000 0.0000
Be: 0.5000 0.0000 0.0000
Co: 0.0000 0.0000 0.5000
H: 0.0000 0.0000 0.0000
I: 0.5000 0.5000 0.5000

***

VASP energy values (in eV per formula unit) by entry order: -18.4; -26.1; -102.6; -15.3.